[1]
15
Lattice="-6.0461 -4.5529 -0.5243 3.5542 -3.6530 -5.6198 3.2037 -4.4398 5.2520" Properties=species:S:1:pos:R:3 comment="PrIn6Se8 (GGA-PBE, optimized geometry)" crystal_system=trigonal e_form_raw_ev_per_atom=-0.59 pbc="T T T"
Se -0.6739 -6.9580 -3.9842
Se -3.2413 -5.6447 -1.2093
Se 0.1988 -3.5312 -0.2491
Se 1.3857 -5.6877 3.0921
Se 2.7849 -5.1758 -3.0474
Se 0.5131 -9.1146 -0.6430
Se 3.9532 -7.0010 0.3171
Se -2.0730 -7.4699 2.1553
In 0.5262 -8.2860 2.0216
In 2.5382 -4.4982 0.9250
In 2.6693 -7.8872 -1.9202
In -1.9574 -4.7585 1.0281
In -1.8264 -8.1476 -1.8172
In 0.1857 -4.3598 -2.9137
Pr 0.0000 0.0000 0.0000

=====

[2]
10
Lattice="-0.4180 1.1391 5.1432 3.5305 -3.6466 3.8094 8.6242 3.8014 2.5738" Properties=species:S:1:pos:R:3 comment="Pm2MgCd2 (GGA-PBE, optimized geometry)" crystal_system=monoclinic de_polymorph_ev_per_atom=0.0000 e_form_ev_per_fu=-1.12 pbc="T T T"
Mg 7.0373 2.7936 6.7395
Mg 4.6993 -1.4997 4.7869
Pm 10.0757 0.8156 7.4226
Pm 3.7889 1.3089 6.8076
Pm 7.9476 -0.0149 4.7188
Pm 1.6609 0.4783 4.1038
Cd 2.5796 -1.4985 7.3257
Cd 6.4015 -0.3631 7.3849
Cd 5.3351 1.6570 4.1415
Cd 9.1569 2.7925 4.2007

=====

[3]
12
Lattice="-2.6903 -0.4651 3.9088 0.2964 -3.5841 -3.1303 10.3976 -4.8828 6.5752" Properties=species:S:1:pos:R:3 comment="CaCd2Au3 (GGA-PBE, optimized geometry)" crystal_system=hexagonal e_form_ev_per_fu=-2.71 pbc="T T T"
Au 5.1988 -2.4414 3.2876
Au 4.9726 -4.6358 5.7787
Au 0.7694 -3.2341 0.1447
Au 3.0312 -4.2962 1.5750
Au 0.0000 0.0000 0.0000
Au 7.2344 -5.6979 7.2090
Ca 7.7982 -3.6621 4.9314
Ca 2.5994 -1.2207 1.6438
Cd 2.6610 -3.5502 4.3169
Cd -0.8516 -1.9007 2.0956
Cd 8.8554 -7.0313 5.2581
Cd 5.3428 -5.3817 3.0368